The following is a DFT calculation (GGA-PBE) of HoSbBr after structural relaxation.

abc: 18.2612 4.5907 9.0596
angles: 90.00 92.74 90.00
Space group C2/m (No. 12)
Symmetry-distinct sites (fractional):
Ho1 0.1322 0.0000 0.1223 x4
Ho2 0.1368 0.0000 0.5888 x4
Sb1 0.2449 0.5000 0.6367 x4
Sb2 0.2493 0.5000 0.1203 x4
Br1 0.0406 0.0000 0.8365 x4
Br2 0.0785 0.5000 0.3834 x4

Values from the calculation:
**Uncorrected energy**: -0.16264 Ha/atom
**Formation energy from raw total energies**: -0.968 eV per atom

=====

The following is a DFT calculation (GGA-PBE) of ReP2RhCl after structural relaxation.

abc: 4.5334 4.5334 4.9981
angles: 90.00 90.00 90.00
Space group P4/mmm (No. 123)
Symmetry-distinct sites (fractional):
Re1 0.0000 0.0000 0.0000 x1
P1 0.0000 0.5000 0.0000 x2
Rh1 0.5000 0.5000 0.5000 x1
Cl1 0.0000 0.0000 0.5000 x1

Values from the calculation:
**Energy above the most stable polymorph in this dataset**: 0 meV/atom
**Uncorrected energy**: -0.20564 Ha/atom
**Formation energy from raw total energies**: 0.897 eV per atom

=====

The following is a DFT calculation (GGA-PBE) of TbPm5Tm6 after structural relaxation.

abc: 5.0590 9.9725 15.1714
angles: 90.00 90.00 90.00
Space group Immm (No. 71)
Symmetry-distinct sites (fractional):
Tb1 0.0000 0.0000 0.0000 x2
Pm1 0.0000 0.0000 0.3333 x4
Pm2 0.0000 0.5000 0.0000 x2
Pm3 0.0000 0.5000 0.3343 x4
Tm1 0.0000 0.2495 0.1664 x8
Tm2 0.0000 0.2509 0.5000 x4

Values from the calculation:
**Uncorrected energy**: -0.16835 Ha/atom
**DFT formation energy**: 0.24 eV/f.u.

=====

The following is a DFT calculation (GGA-PBE) of Bi3BRh after structural relaxation.

abc: 4.9128 4.9128 4.9128
angles: 90.00 90.00 90.00
Space group Pm-3m (No. 221)
Symmetry-distinct sites (fractional):
Bi1 0.0000 0.0000 0.5000 x3
B1 0.0000 0.0000 0.0000 x1
Rh1 0.5000 0.5000 0.5000 x1

Values from the calculation:
**Energy above the most stable polymorph in this dataset**: 0 meV/atom
**Uncorrected energy**: -0.15457 Ha/atom
**DFT formation energy**: 4.64 eV/f.u.

=====

The following is a DFT calculation (GGA-PBE) of CaSi2P2 after structural relaxation.

abc: 4.6804 4.6804 8.2290
angles: 90.00 90.00 90.00
Space group I4/mmm (No. 139)
Symmetry-distinct sites (fractional):
Ca1 0.0000 0.0000 0.0000 x2
Si1 0.0000 0.0000 0.3483 x4
P1 0.0000 0.5000 0.2500 x4

Values from the calculation:
**Uncorrected energy**: -0.18357 Ha/atom
**Formation energy from raw total energies**: -0.262 eV per atom

=====

The following is a DFT calculation (GGA-PBE) of ZrZn2 after structural relaxation.

abc: 7.4076 7.4076 7.4076
angles: 90.00 90.00 90.00
Space group Fd-3m (No. 227, origin choice 2)
Symmetry-distinct sites (fractional):
Zr1 0.1250 0.1250 0.1250 x8
Zn1 0.0000 0.0000 0.5000 x16

Values from the calculation:
**Uncorrected energy**: -0.14674 Ha/atom
**DFT formation energy**: -0.88 eV/f.u.

=====

The following is a DFT calculation (GGA-PBE) of ScAg2HgF6 after structural relaxation.

abc: 5.6592 5.6972 6.0418
angles: 113.10 108.56 94.42
Space group P1 (No. 1)
Symmetry-distinct sites (fractional):
Sc1 0.0000 0.0000 0.0000 x1
Ag1 0.3529 0.6764 0.4645 x1
Ag2 0.6834 0.2835 0.4376 x1
Hg1 0.4382 0.4373 0.7899 x1
F1 0.0320 0.6340 0.7838 x1
F2 0.2616 0.9842 0.3126 x1
F3 0.3139 0.2030 0.9874 x1
F4 0.7259 0.8839 0.1069 x1
F5 0.7385 0.9845 0.6725 x1
F6 0.9718 0.3711 0.2226 x1

Values from the calculation:
**Uncorrected energy**: -0.16529 Ha/atom
**Formation energy from raw total energies**: -2.141 eV per atom

=====

The following is a DFT calculation (GGA-PBE) of InMo after structural relaxation.

abc: 3.0012 3.0012 14.2909
angles: 90.00 90.00 120.00
Space group R-3m (No. 166, hexagonal axes)
Symmetry-distinct sites (fractional):
In1 0.0000 0.0000 0.0000 x3
Mo1 0.0000 0.0000 0.5000 x3

Values from the calculation:
**Energy above the most stable polymorph in this dataset**: 276 meV/atom
**Uncorrected energy**: -0.23130 Ha/atom
**DFT formation energy**: 0.98 eV/f.u.

=====

The following is a DFT calculation (GGA-PBE) of Rb2Sb2Se after structural relaxation.

abc: 7.9096 7.9096 5.8285
angles: 90.00 90.00 90.00
Space group P4/mbm (No. 127)
Symmetry-distinct sites (fractional):
Rb1 0.1756 0.3244 0.0000 x4
Sb1 0.1310 0.6310 0.5000 x4
Se1 0.0000 0.0000 0.5000 x2

Values from the calculation:
**Energy above the most stable polymorph in this dataset**: 137 meV/atom
**Uncorrected energy**: -0.11155 Ha/atom
**Formation energy from raw total energies**: -0.303 eV per atom

=====

The following is a DFT calculation (GGA-PBE) of YSb2AsCl after structural relaxation.

abc: 5.4221 5.4221 5.0140
angles: 90.00 90.00 90.00
Space group P4/mmm (No. 123)
Symmetry-distinct sites (fractional):
Y1 0.0000 0.0000 0.0000 x1
Sb1 0.0000 0.5000 0.5000 x2
As1 0.5000 0.5000 0.0000 x1
Cl1 0.0000 0.0000 0.5000 x1

Values from the calculation:
**Uncorrected energy**: -0.14453 Ha/atom
**Formation energy from raw total energies**: 0.308 eV per atom

=====

The following is a DFT calculation (GGA-PBE) of Np3Os after structural relaxation.

abc: 6.5805 6.5805 6.5805
angles: 90.00 90.00 90.00
Space group Fm-3m (No. 225)
Symmetry-distinct sites (fractional):
Np1 0.0000 0.0000 0.0000 x4
Np2 0.2500 0.2500 0.2500 x8
Os1 0.0000 0.0000 0.5000 x4

Values from the calculation:
**Uncorrected energy**: -0.45365 Ha/atom
**DFT formation energy**: 0.67 eV/f.u.

=====

The following is a DFT calculation (GGA-PBE) of CePuPa2Se4 after structural relaxation.

abc: 7.0017 4.0374 7.3458
angles: 90.00 108.54 90.00
Space group P2/m (No. 10)
Symmetry-distinct sites (fractional):
Ce1 0.0000 0.0000 0.0000 x1
Pu1 0.5000 0.5000 0.0000 x1
Pa1 0.0000 0.5000 0.5000 x1
Pa2 0.5000 0.0000 0.5000 x1
Se1 0.2528 0.0000 0.7495 x2
Se2 0.2538 0.5000 0.2527 x2

Values from the calculation:
**Uncorrected energy**: -0.29685 Ha/atom
**Formation energy from raw total energies**: -1.428 eV per atom

=====

> The lowest uncorrected energy belongs to which entry?

Np3Os